*A*
An optimized crystal structure of NdAgH, computed with PBE.

N(E_F)   3.4 states/eV/cell

Cell and atoms, written as CIF:
```
data_NdAgH
_chemical_formula_sum 'Nd4 Ag4 H4'
_cell_length_a 8.3530
_cell_length_b 3.8440
_cell_length_c 7.9206
_cell_angle_alpha 90.00
_cell_angle_beta 91.49
_cell_angle_gamma 90.00
_symmetry_space_group_name_H-M 'C 1 2/m 1'
_symmetry_Int_Tables_number 12
loop_
_symmetry_equiv_pos_as_xyz
'x,y,z'
'-x,-y,-z'
'-x,y,-z'
'x,-y,z'
'x+1/2,y+1/2,z'
'-x+1/2,-y+1/2,-z'
'-x+1/2,y+1/2,-z'
'x+1/2,-y+1/2,z'
loop_
_atom_site_label
_atom_site_fract_x
_atom_site_fract_y
_atom_site_fract_z
Nd1 0.1596 0.0000 0.3190
Ag1 0.1489 0.0000 0.9117
H1 0.1571 0.5000 0.4677
```

***

*B*
An optimized crystal structure of NdAgH, computed with PBE.

N(E_F)   3.8 states/eV/cell

Cell and atoms, written as CIF:
```
data_NdAgH
_chemical_formula_sum 'Nd2 Ag2 H2'
_cell_length_a 3.4285
_cell_length_b 3.4285
_cell_length_c 10.1733
_cell_angle_alpha 90.00
_cell_angle_beta 90.00
_cell_angle_gamma 90.00
_symmetry_space_group_name_H-M 'I 4 m m'
_symmetry_Int_Tables_number 107
_symmetry_space_group_name_Hall 'I 4 -2'
loop_
_atom_site_label
_atom_site_fract_x
_atom_site_fract_y
_atom_site_fract_z
Nd1 0.0000 0.0000 0.0000
Ag1 0.0000 0.0000 0.2943
H1 0.0000 0.0000 0.5157
```

***

From most stable to least stable, the computed energies give *A*, *B*.

***

*A*
An optimized crystal structure of NiAgH, computed with PBE.

N(E_F)   1.1 states/eV/cell

Cell and atoms, written as CIF:
```
data_NiAgH
_chemical_formula_sum 'Ni1 Ag1 H1'
_cell_length_a 2.8207
_cell_length_b 2.8207
_cell_length_c 4.6057
_cell_angle_alpha 90.00
_cell_angle_beta 90.00
_cell_angle_gamma 120.00
_symmetry_space_group_name_H-M 'P 3 m 1'
_symmetry_Int_Tables_number 156
loop_
_symmetry_equiv_pos_as_xyz
'x,y,z'
'-y,x-y,z'
'-x+y,-x,z'
'-y,-x,z'
'-x+y,y,z'
'x,x-y,z'
loop_
_atom_site_label
_atom_site_fract_x
_atom_site_fract_y
_atom_site_fract_z
Ni1 0.0000 0.0000 0.0000
Ag1 0.3333 0.6667 0.5077
H1 0.6667 0.3333 0.0455
```

***

*B*
An optimized crystal structure of NiAgH, computed with PBE.

N(E_F)   2.9 states/eV/cell

Cell and atoms, written as CIF:
```
data_NiAgH
_chemical_formula_sum 'Ni2 Ag2 H2'
_cell_length_a 2.6216
_cell_length_b 2.6216
_cell_length_c 9.6461
_cell_angle_alpha 90.00
_cell_angle_beta 90.00
_cell_angle_gamma 90.00
_symmetry_space_group_name_H-M 'I 4 m m'
_symmetry_Int_Tables_number 107
_symmetry_space_group_name_Hall 'I 4 -2'
loop_
_atom_site_label
_atom_site_fract_x
_atom_site_fract_y
_atom_site_fract_z
Ni1 0.0000 0.0000 0.0000
Ag1 0.0000 0.0000 0.2749
H1 0.0000 0.0000 0.5159
```

***

From most stable to least stable, the computed energies give *A*, *B*.

***

*A*
An optimized crystal structure of NiAg3H, computed with PBE.

N(E_F)   4.2 states/eV/cell

Cell and atoms, written as CIF:
```
data_NiAg3H
_chemical_formula_sum 'Ni1 Ag3 H1'
_cell_length_a 4.8217
_cell_length_b 4.8217
_cell_length_c 4.8217
_cell_angle_alpha 90.00
_cell_angle_beta 90.00
_cell_angle_gamma 90.00
_symmetry_space_group_name_H-M 'P m -3 m'
_symmetry_Int_Tables_number 221
_symmetry_space_group_name_Hall '-P 4 2 3'
loop_
_atom_site_label
_atom_site_fract_x
_atom_site_fract_y
_atom_site_fract_z
Ni1 0.0000 0.0000 0.0000
Ag1 0.0000 0.0000 0.5000
H1 0.5000 0.5000 0.5000
```

***

*B*
An optimized crystal structure of NiAg3H, computed with PBE.

N(E_F)   1.9 states/eV/cell

Cell and atoms, written as CIF:
```
data_NiAg3H
_chemical_formula_sum 'Ni1 Ag3 H1'
_cell_length_a 4.0868
_cell_length_b 4.0868
_cell_length_c 4.0868
_cell_angle_alpha 90.00
_cell_angle_beta 90.00
_cell_angle_gamma 90.00
_symmetry_space_group_name_H-M 'P m -3 m'
_symmetry_Int_Tables_number 221
_symmetry_space_group_name_Hall '-P 4 2 3'
loop_
_atom_site_label
_atom_site_fract_x
_atom_site_fract_y
_atom_site_fract_z
Ni1 0.0000 0.0000 0.0000
Ag1 0.0000 0.5000 0.5000
H1 0.5000 0.5000 0.5000
```

***

From most stable to least stable, the computed energies give *B*, *A*.

***

*A*
An optimized crystal structure of Ni2AgH, computed with PBE.

N(E_F)   15.1 states/eV/cell

Cell and atoms, written as CIF:
```
data_Ni2AgH
_chemical_formula_sum 'Ni8 Ag4 H4'
_cell_length_a 5.0655
_cell_length_b 5.0655
_cell_length_c 7.0513
_cell_angle_alpha 90.00
_cell_angle_beta 90.00
_cell_angle_gamma 90.00
_symmetry_space_group_name_H-M 'I -4 2 d'
_symmetry_Int_Tables_number 122
_symmetry_space_group_name_Hall 'I -4 2bw'
loop_
_atom_site_label
_atom_site_fract_x
_atom_site_fract_y
_atom_site_fract_z
Ni1 0.0321 0.7500 0.1250
Ag1 0.0000 0.0000 0.5000
H1 0.0000 0.0000 0.0000
```

***

*B*
An optimized crystal structure of Ni2AgH, computed with PBE.

N(E_F)   3.1 states/eV/cell

Cell and atoms, written as CIF:
```
data_Ni2AgH
_chemical_formula_sum 'Ni8 Ag4 H4'
_cell_length_a 5.7508
_cell_length_b 5.7508
_cell_length_c 5.7508
_cell_angle_alpha 90.00
_cell_angle_beta 90.00
_cell_angle_gamma 90.00
_symmetry_space_group_name_H-M 'F m -3 m'
_symmetry_Int_Tables_number 225
_symmetry_space_group_name_Hall '-F 4 2 3'
loop_
_atom_site_label
_atom_site_fract_x
_atom_site_fract_y
_atom_site_fract_z
Ni1 0.2500 0.2500 0.2500
Ag1 0.0000 0.0000 0.0000
H1 0.0000 0.0000 0.5000
```

***

From most stable to least stable, the computed energies give *A*, *B*.